1.
# TeRh4Au

Crystalline TeRh4Au at its relaxed geometry (PBE, the Alexandria database).

Its magnetization is 0.00 μB/f.u. The value obtained for the uncorrected formation energy is 308 meV per atom. Its crystal system is cubic.

The space group is F-43m (No. 216) and the conventional cell measures 7.408, 7.408 and 7.408 Å, with angles of 90.00, 90.00 and 90.00 degrees. The asymmetric unit holds Te at (0.000, 0.000, 0.000), Rh at (0.125, 0.125, 0.375) and Au at (0.250, 0.250, 0.750).

2.
# Te2RhAu

Crystalline Te2RhAu at its relaxed geometry (PBE, the Alexandria database).

Its magnetization is 0.51 μB/f.u. The value obtained for the uncorrected formation energy is 341 meV per atom. The energy above the lowest structure with this stoichiometry comes out at 2.33 eV/f.u. Its crystal system is trigonal.

The space group is R-3m (No. 166, hexagonal axes) and the conventional cell measures 3.0511, 3.0511 and 35.8177 Å, with angles of 90.00, 90.00 and 120.00 degrees. The asymmetric unit holds Te at (0.0000, 0.0000, 0.0719), Rh at (0.0000, 0.0000, 0.0000) and Au at (0.0000, 0.0000, 0.5000).

3.
# Te2Rh2Au

Crystalline Te2Rh2Au at its relaxed geometry (PBE, the Alexandria database).

Its magnetization is 0.00 μB/f.u. The value obtained for the uncorrected formation energy is -30 meV per atom. The energy above the lowest structure with this stoichiometry comes out at 0.00 eV/f.u. Its crystal system is tetragonal.

The space group is P4/mbm (No. 127) and the conventional cell measures 7.387, 7.387 and 3.568 Å, with angles of 90.00, 90.00 and 90.00 degrees. The asymmetric unit holds Te at (0.159, 0.341, 0.000), Rh at (0.138, 0.638, 0.500) and Au at (0.000, 0.000, 0.500).

4.
# Te2RhAu

Crystalline Te2RhAu at its relaxed geometry (PBE, the Alexandria database).

Its magnetization is 0.00 μB/f.u. The value obtained for the uncorrected formation energy is -117 meV per atom. The energy above the lowest structure with this stoichiometry comes out at 0.50 eV/f.u. Its crystal system is trigonal.

The space group is R3m (No. 160, hexagonal axes) and the conventional cell measures 4.0176, 4.0176 and 20.7908 Å, with angles of 90.00, 90.00 and 120.00 degrees. The asymmetric unit holds Te at (0.0000, 0.0000, 0.0000), Te at (0.0000, 0.0000, 0.1963), Rh at (0.0000, 0.0000, 0.7226) and Au at (0.0000, 0.0000, 0.4621).

5.
# Te2RhAu

Crystalline Te2RhAu at its relaxed geometry (PBE, the Alexandria database).

Its magnetization is 0.00 μB/f.u. The value obtained for the uncorrected formation energy is -144 meV per atom. The energy above the lowest structure with this stoichiometry comes out at 0.39 eV/f.u. Its crystal system is trigonal.

The space group is R-3m (No. 166, hexagonal axes) and the conventional cell measures 3.8600, 3.8600 and 21.1202 Å, with angles of 90.00, 90.00 and 120.00 degrees. The asymmetric unit holds Te at (0.0000, 0.0000, 0.2386), Rh at (0.0000, 0.0000, 0.5000) and Au at (0.0000, 0.0000, 0.0000).

6.
# TeRhAu2

Crystalline TeRhAu2 at its relaxed geometry (PBE, the Alexandria database).

Its magnetization is 0.00 μB/f.u. The value obtained for the uncorrected formation energy is 240 meV per atom. Its crystal system is orthorhombic.

The space group is Cmmm (No. 65) and the conventional cell measures 5.437, 7.420 and 3.841 Å, with angles of 90.00, 90.00 and 90.00 degrees. The asymmetric unit holds Te at (0.000, 0.000, 0.000), Rh at (0.000, 0.500, 0.000) and Au at (0.250, 0.250, 0.500).

7.
# TeRhAu2

Crystalline TeRhAu2 at its relaxed geometry (PBE, the Alexandria database).

Its magnetization is 0.77 μB/f.u. The value obtained for the uncorrected formation energy is 336 meV per atom. Its crystal system is tetragonal.

The space group is P4/mmm (No. 123) and the conventional cell measures 3.056, 3.056 and 8.485 Å, with angles of 90.00, 90.00 and 90.00 degrees. The asymmetric unit holds Te at (0.000, 0.000, 0.000), Rh at (0.000, 0.000, 0.500) and Au at (0.500, 0.500, 0.288).

8.
# Te2RhAu

Crystalline Te2RhAu at its relaxed geometry (PBE, the Alexandria database).

Its magnetization is 0.00 μB/f.u. The value obtained for the uncorrected formation energy is -88 meV per atom. The energy above the lowest structure with this stoichiometry comes out at 0.62 eV/f.u. Its crystal system is orthorhombic.

The space group is Amm2 (No. 38) and the conventional cell measures 4.921, 5.179 and 7.581 Å, with angles of 90.00, 90.00 and 90.00 degrees. The asymmetric unit holds Te at (0.000, 0.000, 0.000), Te at (0.500, 0.000, 0.469), Rh at (0.000, 0.000, 0.630) and Au at (0.500, 0.000, 0.832).

9.
# TeRhAu2

Crystalline TeRhAu2 at its relaxed geometry (PBE, the Alexandria database).

Its magnetization is 0.00 μB/f.u. The value obtained for the uncorrected formation energy is 200 meV per atom. Its crystal system is tetragonal.

The space group is I-42d (No. 122) and the conventional cell measures 7.743, 7.743 and 5.369 Å, with angles of 90.00, 90.00 and 90.00 degrees. The asymmetric unit holds Te at (0.000, 0.000, 0.000), Rh at (0.000, 0.000, 0.500) and Au at (0.243, 0.250, 0.625).

10.
# Te2RhAu

Crystalline Te2RhAu at its relaxed geometry (PBE, the Alexandria database).

Its magnetization is 0.00 μB/f.u. The value obtained for the uncorrected formation energy is -242 meV per atom. The energy above the lowest structure with this stoichiometry comes out at 0.00 eV/f.u. Its crystal system is trigonal.

The space group is R-3m (No. 166, hexagonal axes) and the conventional cell measures 4.0353, 4.0353 and 23.5260 Å, with angles of 90.00, 90.00 and 120.00 degrees. The asymmetric unit holds Te at (0.0000, 0.0000, 0.1110), Rh at (0.0000, 0.0000, 0.5000) and Au at (0.0000, 0.0000, 0.0000).

11.
# Te4RhAu

Crystalline Te4RhAu at its relaxed geometry (PBE, the Alexandria database).

Its magnetization is 0.00 μB/f.u. The value obtained for the uncorrected formation energy is -258 meV per atom. The energy above the lowest structure with this stoichiometry comes out at 0.00 eV/f.u. Its crystal system is monoclinic.

The space group is C2/m (No. 12) and the conventional cell measures 12.800, 4.080 and 7.341 Å, with angles of 90.00, 124.62 and 90.00 degrees. The asymmetric unit holds Te at (0.120, 0.000, 0.289), Te at (0.147, 0.500, 0.855), Rh at (0.000, 0.500, 0.000) and Au at (0.000, 0.000, 0.500).

12.
# TeRhAu2

Crystalline TeRhAu2 at its relaxed geometry (PBE, the Alexandria database).

Its magnetization is 0.00 μB/f.u. The value obtained for the uncorrected formation energy is 30 meV per atom. Its crystal system is orthorhombic.

The space group is Pmm2 (No. 25) and the conventional cell measures 3.418, 3.438 and 6.523 Å, with angles of 90.00, 90.00 and 90.00 degrees. The asymmetric unit holds Te at (0.000, 0.000, 0.000), Rh at (0.500, 0.500, 0.815), Au at (0.000, 0.000, 0.555) and Au at (0.500, 0.500, 0.331).